# 1
An optimized crystal structure of ThZr, computed with PBE.

a = 5.855 Å, b = 10.090 Å, c = 5.600 Å
α = 90.00°, β = 90.00°, γ = 90.00°
Element x y z (fractional)
1 Th 0.493 0.155 0.000
2 Th 0.993 0.678 0.000
3 Th 0.850 0.161 0.500
4 Th 0.326 0.332 0.500
5 Th 0.826 0.501 0.500
6 Th 0.350 0.672 0.500
7 Zr 0.993 0.337 0.000
8 Zr 0.493 0.496 0.000
9 Zr 0.519 0.838 0.000
10 Zr 0.019 0.995 0.000
11 Zr 0.819 0.850 0.500
12 Zr 0.319 0.983 0.500

Computed properties:
The formation energy comes out at 0.085 eV/atom.

---

# 2
An optimized crystal structure of Lu4ZnInN2, computed with PBE.

a = 3.415 Å, b = 3.415 Å, c = 14.889 Å
α = 90.00°, β = 90.00°, γ = 120.00°
Element x y z (fractional)
1 In 0.667 0.333 0.500
2 Lu 0.667 0.333 0.151
3 Lu 0.000 0.000 0.327
4 Lu 0.000 0.000 0.673
5 Lu 0.667 0.333 0.849
6 N 0.333 0.667 0.244
7 N 0.333 0.667 0.756
8 Zn 0.000 0.000 0.000

---

# 3
An optimized crystal structure of LiGaCuPd, computed with PBE.

a = 4.232 Å, b = 4.232 Å, c = 4.232 Å
α = 60.00°, β = 60.00°, γ = 60.00°
Element x y z (fractional)
1 Cu 0.750 0.750 0.750
2 Ga 0.000 0.000 0.000
3 Li 0.500 0.500 0.500
4 Pd 0.250 0.250 0.250

Computed properties:
The energy relative to the lowest polymorph listed for this composition is 0.000 eV/atom.

---

# 4
An optimized crystal structure of BaScAgS3, computed with PBE.

a = 8.827 Å, b = 8.827 Å, c = 8.469 Å
α = 101.73°, β = 101.73°, γ = 25.84°
Element x y z (fractional)
1 Ag 0.481 0.481 0.290
2 Ag 0.519 0.519 0.710
3 Ba 0.137 0.137 0.072
4 Ba 0.863 0.863 0.928
5 S 0.500 0.500 0.000
6 S 0.323 0.323 0.210
7 S 0.678 0.678 0.379
8 S 0.000 0.000 0.500
9 S 0.322 0.322 0.621
10 S 0.677 0.677 0.790
11 Sc 0.834 0.834 0.421
12 Sc 0.166 0.166 0.579

---

# 5
An optimized crystal structure of Th4TcAg, computed with PBE.

a = 7.339 Å, b = 7.339 Å, c = 6.095 Å
α = 90.00°, β = 90.00°, γ = 90.00°
Element x y z (fractional)
1 Ag 0.000 0.000 0.250
2 Ag 0.000 0.000 0.750
3 Tc 0.500 0.500 0.250
4 Tc 0.500 0.500 0.750
5 Th 0.353 0.179 0.000
6 Th 0.821 0.353 0.000
7 Th 0.179 0.647 0.000
8 Th 0.647 0.821 0.000
9 Th 0.647 0.179 0.500
10 Th 0.179 0.353 0.500
11 Th 0.821 0.647 0.500
12 Th 0.353 0.821 0.500

Computed properties:
The formation energy comes out at -0.148 eV/atom.

---

# 6
An optimized crystal structure of ZrSiSn, computed with PBE.

a = 4.706 Å, b = 4.706 Å, c = 4.706 Å
α = 60.00°, β = 60.00°, γ = 60.00°
Element x y z (fractional)
1 Si 0.250 0.250 0.250
2 Sn 0.750 0.750 0.750
3 Zr 0.000 0.000 0.000

Computed properties:
The energy relative to the lowest polymorph listed for this composition is 0.095 eV/atom.

---

These records have volume values of 27.570, 18.791, 13.394, 23.440, 27.359, 24.562 Å³/atom, in the order they appear.
These records have raw total energy values of -15.79, -46.91, -15.60, -32.46, -43.72, -17.28 eV/f.u., in the order they appear.